--- w ---
## CoAsP (GGA-PBE)

Data for a geometry-optimized CoAsP structure.

```
data_CoAsP
_cell_length_a 2.927
_cell_length_b 7.730
_cell_length_c 7.730
_cell_angle_alpha 128.65
_cell_angle_beta 90.00
_cell_angle_gamma 90.00
_space_group_name_H-M_alt 'P 1'
_space_group_IT_number 1
loop_
_space_group_symop_operation_xyz
'x,y,z'
loop_
_atom_site_label
_atom_site_type_symbol
_atom_site_fract_x
_atom_site_fract_y
_atom_site_fract_z
Co1 Co 0.000 0.000 0.000
Co2 Co 0.000 0.233 0.831
Co3 Co 0.000 0.831 0.233
As1 As 0.000 0.407 0.407
As2 As 0.500 0.537 0.912
As3 As 0.500 0.912 0.537
P1 P 0.500 0.063 0.269
P2 P 0.500 0.269 0.063
P3 P 0.500 0.741 0.741
```

Crystal system: orthorhombic



--- x ---
## CoAsP (GGA-PBE)

Data for a geometry-optimized CoAsP structure.

```
data_CoAsP
_cell_length_a 6.238
_cell_length_b 6.238
_cell_length_c 6.238
_cell_angle_alpha 154.23
_cell_angle_beta 154.23
_cell_angle_gamma 36.77
_space_group_name_H-M_alt 'P 1'
_space_group_IT_number 1
loop_
_space_group_symop_operation_xyz
'x,y,z'
loop_
_atom_site_label
_atom_site_type_symbol
_atom_site_fract_x
_atom_site_fract_y
_atom_site_fract_z
Co1 Co 0.000 0.000 0.000
As1 As 0.643 0.643 0.000
P1 P 0.393 0.393 0.000
```

Crystal system: tetragonal



Quick look at relative energies in meV/atom: w 76; x 0.



--- w ---
## Co3AsPb (GGA-PBE)

Data for a geometry-optimized Co3AsPb structure.

```
data_Co3AsPb
_cell_length_a 4.425
_cell_length_b 4.425
_cell_length_c 4.425
_cell_angle_alpha 90.00
_cell_angle_beta 90.00
_cell_angle_gamma 90.00
_space_group_name_H-M_alt 'P 1'
_space_group_IT_number 1
loop_
_space_group_symop_operation_xyz
'x,y,z'
loop_
_atom_site_label
_atom_site_type_symbol
_atom_site_fract_x
_atom_site_fract_y
_atom_site_fract_z
Co1 Co 0.000 0.000 0.500
Co2 Co 0.000 0.500 0.000
Co3 Co 0.500 0.000 0.000
As1 As 0.000 0.000 0.000
Pb1 Pb 0.500 0.500 0.500
```

Crystal system: cubic



--- x ---
## Co3AsPb (GGA-PBE)

Data for a geometry-optimized Co3AsPb structure.

```
data_Co3AsPb
_cell_length_a 4.760
_cell_length_b 4.760
_cell_length_c 4.760
_cell_angle_alpha 90.00
_cell_angle_beta 90.00
_cell_angle_gamma 90.00
_space_group_name_H-M_alt 'P 1'
_space_group_IT_number 1
loop_
_space_group_symop_operation_xyz
'x,y,z'
loop_
_atom_site_label
_atom_site_type_symbol
_atom_site_fract_x
_atom_site_fract_y
_atom_site_fract_z
Co1 Co 0.000 0.000 0.500
Co2 Co 0.000 0.500 0.000
Co3 Co 0.500 0.000 0.000
As1 As 0.500 0.500 0.500
Pb1 Pb 0.000 0.000 0.000
```

Crystal system: cubic



Quick look at relative energies in meV/atom: w 0; x 1157.



--- w ---
## CoAsPbSe2 (GGA-PBE)

Data for a geometry-optimized CoAsPbSe2 structure.

```
data_CoAsPbSe2
_cell_length_a 4.909
_cell_length_b 4.909
_cell_length_c 4.309
_cell_angle_alpha 90.00
_cell_angle_beta 90.00
_cell_angle_gamma 90.00
_space_group_name_H-M_alt 'P 1'
_space_group_IT_number 1
loop_
_space_group_symop_operation_xyz
'x,y,z'
loop_
_atom_site_label
_atom_site_type_symbol
_atom_site_fract_x
_atom_site_fract_y
_atom_site_fract_z
Co1 Co 0.000 0.000 0.000
As1 As 0.000 0.000 0.500
Pb1 Pb 0.500 0.500 0.500
Se1 Se 0.000 0.500 0.000
Se2 Se 0.500 0.000 0.000
```

Crystal system: tetragonal



--- x ---
## CoAsPbSe2 (GGA-PBE)

Data for a geometry-optimized CoAsPbSe2 structure.

```
data_CoAsPbSe2
_cell_length_a 5.448
_cell_length_b 5.448
_cell_length_c 5.354
_cell_angle_alpha 90.00
_cell_angle_beta 90.00
_cell_angle_gamma 90.00
_space_group_name_H-M_alt 'P 1'
_space_group_IT_number 1
loop_
_space_group_symop_operation_xyz
'x,y,z'
loop_
_atom_site_label
_atom_site_type_symbol
_atom_site_fract_x
_atom_site_fract_y
_atom_site_fract_z
Co1 Co 0.000 0.000 0.000
As1 As 0.500 0.500 0.000
Pb1 Pb 0.500 0.500 0.500
Se1 Se 0.000 0.500 0.500
Se2 Se 0.500 0.000 0.500
```

Crystal system: tetragonal



Quick look at relative energies in meV/atom: w 0; x 1196.



--- w ---
## CoAs2PbSe (GGA-PBE)

Data for a geometry-optimized CoAs2PbSe structure.

```
data_CoAs2PbSe
_cell_length_a 5.393
_cell_length_b 5.393
_cell_length_c 5.433
_cell_angle_alpha 90.00
_cell_angle_beta 90.00
_cell_angle_gamma 90.00
_space_group_name_H-M_alt 'P 1'
_space_group_IT_number 1
loop_
_space_group_symop_operation_xyz
'x,y,z'
loop_
_atom_site_label
_atom_site_type_symbol
_atom_site_fract_x
_atom_site_fract_y
_atom_site_fract_z
Co1 Co 0.000 0.000 0.000
As1 As 0.000 0.500 0.500
As2 As 0.500 0.000 0.500
Pb1 Pb 0.500 0.500 0.500
Se1 Se 0.500 0.500 0.000
```

Crystal system: tetragonal



--- x ---
## CoAs2PbSe (GGA-PBE)

Data for a geometry-optimized CoAs2PbSe structure.

```
data_CoAs2PbSe
_cell_length_a 4.448
_cell_length_b 4.448
_cell_length_c 5.330
_cell_angle_alpha 90.00
_cell_angle_beta 90.00
_cell_angle_gamma 90.00
_space_group_name_H-M_alt 'P 1'
_space_group_IT_number 1
loop_
_space_group_symop_operation_xyz
'x,y,z'
loop_
_atom_site_label
_atom_site_type_symbol
_atom_site_fract_x
_atom_site_fract_y
_atom_site_fract_z
Co1 Co 0.000 0.000 0.000
As1 As 0.000 0.500 0.000
As2 As 0.500 0.000 0.000
Pb1 Pb 0.500 0.500 0.500
Se1 Se 0.000 0.000 0.500
```

Crystal system: tetragonal



Quick look at relative energies in meV/atom: w 1322; x 0.



--- w ---
## CoAs2PdSe (GGA-PBE)

Data for a geometry-optimized CoAs2PdSe structure.

```
data_CoAs2PdSe
_cell_length_a 4.392
_cell_length_b 4.392
_cell_length_c 5.012
_cell_angle_alpha 90.00
_cell_angle_beta 90.00
_cell_angle_gamma 90.00
_space_group_name_H-M_alt 'P 1'
_space_group_IT_number 1
loop_
_space_group_symop_operation_xyz
'x,y,z'
loop_
_atom_site_label
_atom_site_type_symbol
_atom_site_fract_x
_atom_site_fract_y
_atom_site_fract_z
Co1 Co 0.000 0.000 0.000
As1 As 0.000 0.500 0.000
As2 As 0.500 0.000 0.000
Pd1 Pd 0.500 0.500 0.500
Se1 Se 0.000 0.000 0.500
```

Crystal system: tetragonal



--- x ---
## CoAs2PdSe (GGA-PBE)

Data for a geometry-optimized CoAs2PdSe structure.

```
data_CoAs2PdSe
_cell_length_a 5.039
_cell_length_b 5.039
_cell_length_c 4.203
_cell_angle_alpha 90.00
_cell_angle_beta 90.00
_cell_angle_gamma 90.00
_space_group_name_H-M_alt 'P 1'
_space_group_IT_number 1
loop_
_space_group_symop_operation_xyz
'x,y,z'
loop_
_atom_site_label
_atom_site_type_symbol
_atom_site_fract_x
_atom_site_fract_y
_atom_site_fract_z
Co1 Co 0.000 0.000 0.000
As1 As 0.000 0.500 0.500
As2 As 0.500 0.000 0.500
Pd1 Pd 0.500 0.500 0.000
Se1 Se 0.000 0.000 0.500
```

Crystal system: tetragonal



Quick look at relative energies in meV/atom: w 0; x 521.



--- w ---
## PmCoAs2 (GGA-PBE)

Data for a geometry-optimized PmCoAs2 structure.

```
data_PmCoAs2
_cell_length_a 5.636
_cell_length_b 5.636
_cell_length_c 5.636
_cell_angle_alpha 138.14
_cell_angle_beta 138.14
_cell_angle_gamma 60.69
_space_group_name_H-M_alt 'P 1'
_space_group_IT_number 1
loop_
_space_group_symop_operation_xyz
'x,y,z'
loop_
_atom_site_label
_atom_site_type_symbol
_atom_site_fract_x
_atom_site_fract_y
_atom_site_fract_z
Pm1 Pm 0.000 0.000 0.000
Co1 Co 0.250 0.750 0.500
As1 As 0.361 0.361 0.000
As2 As 0.639 0.639 0.000
```

Crystal system: tetragonal



--- x ---
## PmCoAs2 (GGA-PBE)

Data for a geometry-optimized PmCoAs2 structure.

```
data_PmCoAs2
_cell_length_a 10.175
_cell_length_b 3.977
_cell_length_c 10.175
_cell_angle_alpha 78.73
_cell_angle_beta 22.54
_cell_angle_gamma 78.73
_space_group_name_H-M_alt 'P 1'
_space_group_IT_number 1
loop_
_space_group_symop_operation_xyz
'x,y,z'
loop_
_atom_site_label
_atom_site_type_symbol
_atom_site_fract_x
_atom_site_fract_y
_atom_site_fract_z
Pm1 Pm 0.119 0.881 0.119
Pm2 Pm 0.881 0.119 0.881
Co1 Co 0.250 0.250 0.250
Co2 Co 0.750 0.750 0.750
As1 As 0.001 0.500 0.999
As2 As 0.315 0.685 0.315
As3 As 0.500 0.001 0.500
As4 As 0.685 0.315 0.685
```

Crystal system: orthorhombic



--- y ---
## PmCoAs2 (GGA-PBE)

Data for a geometry-optimized PmCoAs2 structure.

```
data_PmCoAs2
_cell_length_a 4.431
_cell_length_b 4.431
_cell_length_c 3.936
_cell_angle_alpha 90.00
_cell_angle_beta 90.00
_cell_angle_gamma 90.00
_space_group_name_H-M_alt 'P 1'
_space_group_IT_number 1
loop_
_space_group_symop_operation_xyz
'x,y,z'
loop_
_atom_site_label
_atom_site_type_symbol
_atom_site_fract_x
_atom_site_fract_y
_atom_site_fract_z
Pm1 Pm 0.000 0.000 0.000
Co1 Co 0.500 0.500 0.000
As1 As 0.000 0.500 0.500
As2 As 0.500 0.000 0.500
```

Crystal system: tetragonal



--- z ---
## PmCoAs2 (GGA-PBE)

Data for a geometry-optimized PmCoAs2 structure.

```
data_PmCoAs2
_cell_length_a 6.086
_cell_length_b 6.086
_cell_length_c 6.086
_cell_angle_alpha 37.63
_cell_angle_beta 37.63
_cell_angle_gamma 37.63
_space_group_name_H-M_alt 'P 1'
_space_group_IT_number 1
loop_
_space_group_symop_operation_xyz
'x,y,z'
loop_
_atom_site_label
_atom_site_type_symbol
_atom_site_fract_x
_atom_site_fract_y
_atom_site_fract_z
Pm1 Pm 0.000 0.000 0.000
Co1 Co 0.500 0.500 0.500
As1 As 0.224 0.224 0.224
As2 As 0.776 0.776 0.776
```

Crystal system: trigonal



Quick look at relative energies in meV/atom: w 29; x 0; y 544; z 116.